Density functional theory data (PBE) for a relaxed La4CeTh crystal.

As for the energy: -5.45 eV/atom. As for the total moment: 1.93 μB/cell. The formation energy comes out at 0.065 eV/atom.

The structure belongs to space group C2/m (No. 12); the cell edges are 6.278, 10.980 and 6.284 Å and the angles 90.00°, 109.61° and 90.00°. The inequivalent atoms are La at (0.000, 0.160, 0.000), La at (0.000, 0.338, 0.500), Ce at (0.000, 0.500, 0.000) and Th at (0.000, 0.000, 0.500).



Density functional theory data (PBE) for a relaxed Ac3InCl crystal.

As for the energy: -3.90 eV/atom. Its formation energy from raw total energies is -0.522 eV per atom. As for the total moment: 0.00 μB/cell.

The structure belongs to space group Pm-3m (No. 221); the cell edges are 5.709, 5.709 and 5.709 Å and the angles 90.00°, 90.00° and 90.00°. The inequivalent atoms are Ac at (0.000, 0.000, 0.500), In at (0.500, 0.500, 0.500) and Cl at (0.000, 0.000, 0.000).